Entry 1:
VASP calculation (GGA-PBE) on CeGe4OsRh2 after structural relaxation.

Output
* V: 137 Å³/cell
* magnetization: 0.0383 μB per atom
* space group: R-3m
* calculated formation energy: -422 meV per atom

```
CeGe4OsRh2
1.0
4.230 0.000 0.000
2.115 3.663 0.000
2.115 1.221 8.831
Rh Os Ge Ce
2 1 4 1
Cartesian
6.345 3.663 6.163
2.115 1.221 2.667
4.230 2.442 4.415
4.230 2.442 7.135
6.345 3.663 3.446
2.115 1.221 5.385
4.230 2.442 1.696
0.000 0.000 0.000
```

Entry 2:
VASP calculation (GGA-PBE) on CeGe2OsRu after structural relaxation.

Output
* V: 92 Å³/cell
* magnetization: 0.1462 μB per atom
* space group: I-4m2
* calculated formation energy: -524 meV per atom

```
CeGe2OsRu
1.0
-2.684 -1.449 -3.007
-1.782 -2.640 2.863
-1.071 5.609 1.303
Ce Ge Ru Os
1 2 1 1
Cartesian
0.000 0.000 0.000
-3.088 -1.122 0.247
-2.449 2.642 0.913
-2.994 1.058 -0.888
-2.543 0.462 2.047
```

Entry 3:
VASP calculation (GGA-PBE) on CeSiGe2Os2 after structural relaxation.

Output
* uncorrected formation energy: 0.005 eV per atom
* V: 113 Å³/cell
* magnetization: 0.1627 μB per atom
* space group: P4/mmm

```
CeSiGe2Os2
1.0
4.492 0.000 0.000
0.000 4.492 0.000
0.000 0.000 5.615
Ge Ce Si Os
2 1 1 2
Cartesian
2.246 2.246 1.528
2.246 2.246 4.087
0.000 0.000 2.808
0.000 0.000 0.000
0.000 2.246 0.000
2.246 0.000 0.000
```

Entry 4:
VASP calculation (GGA-PBE) on Ce2TcGe6Os after structural relaxation.

Output
* V: 411 Å³/cell
* magnetization: 0.1900 μB per atom
* space group: R-3m
* calculated formation energy: -261 meV per atom

```
Ce2TcGe6Os
1.0
6.082 0.000 0.000
3.041 5.267 0.000
3.041 1.756 12.846
Ge Os Ce Tc
12 2 4 2
Cartesian
7.858 4.537 7.901
4.305 2.485 4.945
6.082 1.547 1.971
7.782 2.529 10.875
6.082 1.460 7.901
4.381 2.529 10.875
7.858 2.485 4.945
6.082 5.475 10.875
4.381 4.493 1.971
7.782 4.493 1.971
6.082 5.563 4.945
4.305 4.537 7.901
6.082 3.511 9.366
6.082 3.511 3.479
9.122 5.267 11.008
3.041 1.756 1.837
3.041 1.756 8.024
9.122 5.267 4.821
6.082 3.511 6.423
0.000 0.000 0.000
```